Compound: CeMnSeO2
Source: Alexandria via LeMat-Bulk
Functional: PBE with a Hubbard U
Structure: optimized geometry

abc: 6.5333 6.5333 5.3914
angles: 90.00 90.00 131.61
Closest atoms and distances in Å follow each position.
Fractional coordinates of all 10 atoms:
Ce  0.1018  0.8982  0.7500  4 O 2.24
Ce  0.8982  0.1018  0.2500  4 O 2.24
Mn  0.4195  0.5805  0.7500  4 O 2.15
Mn  0.5805  0.4195  0.2500  4 O 2.15
Se  0.2502  0.7498  0.2500  4 Ce 3.21-3.22, 4 Mn 3.36-3.37, 8 O 3.53-3.54
Se  0.7498  0.2502  0.7500  4 Ce 3.21-3.22, 4 Mn 3.36-3.37, 8 O 3.53-3.54
O  0.2450  0.2450  0.0000  2 Mn 2.15, 2 Ce 2.24
O  0.2450  0.2450  0.5000  2 Mn 2.15, 2 Ce 2.24
O  0.7550  0.7550  0.0000  2 Mn 2.15, 2 Ce 2.24
O  0.7550  0.7550  0.5000  2 Mn 2.15, 2 Ce 2.24

Summary:
- raw total energy (eV/atom) = -7.5295